i:
# NdSc2Ru

A geometry-optimized NdSc2Ru structure (PBE-GGA, Alexandria). Values from VASP.

Values from the calculation:
magnetic moment = 0.00 μB/cell
DOS(E_F) = 5.04 states/eV/cell

Geometry as Quantum ESPRESSO input:
```
&SYSTEM
  ibrav = 0, nat = 4, ntyp = 3
/
ATOMIC_SPECIES
Nd 144.24 Nd.upf
Sc 44.96 Sc.upf
Ru 101.07 Ru.upf
ATOMIC_POSITIONS crystal
Nd 0.500 0.500 0.500
Sc 0.730 0.730 0.809
Sc 0.270 0.270 0.191
Ru 0.000 0.000 0.000
CELL_PARAMETERS angstrom
-0.118 -3.147 1.087
0.936 -2.491 -2.005
9.401 -1.089 2.976
```

ii:
# NdSc2Ru

A geometry-optimized NdSc2Ru structure (PBE-GGA, Alexandria). Values from VASP.

Values from the calculation:
magnetic moment = 0.00 μB/cell
DOS(E_F) = 2.61 states/eV/cell

Geometry as Quantum ESPRESSO input:
```
&SYSTEM
  ibrav = 0, nat = 4, ntyp = 3
/
ATOMIC_SPECIES
Ru 101.07 Ru.upf
Nd 144.24 Nd.upf
Sc 44.96 Sc.upf
ATOMIC_POSITIONS crystal
Ru 0.500 0.500 0.000
Nd 0.500 0.500 0.500
Sc 0.000 0.000 0.822
Sc 0.000 0.000 0.178
CELL_PARAMETERS angstrom
3.292 0.000 0.000
0.000 3.292 0.000
0.000 0.000 8.501
```

Quick one: least stable of them? i

i:
# Nd2RuSe

A geometry-optimized Nd2RuSe structure (PBE-GGA, Alexandria). Values from VASP.

Values from the calculation:
magnetic moment = 0.00 μB/cell
DOS(E_F) = 1.00 states/eV/cell

Geometry as Quantum ESPRESSO input:
```
&SYSTEM
  ibrav = 0, nat = 4, ntyp = 3
/
ATOMIC_SPECIES
Nd 144.24 Nd.upf
Ru 101.07 Ru.upf
Se 78.96 Se.upf
ATOMIC_POSITIONS crystal
Nd 0.000 0.000 0.765
Nd 0.000 0.000 0.235
Ru 0.500 0.500 0.000
Se 0.500 0.500 0.500
CELL_PARAMETERS angstrom
-1.716 -0.025 3.121
-0.411 -3.529 -0.255
6.481 -1.012 3.554
```

ii:
# Nd2RuSe

A geometry-optimized Nd2RuSe structure (PBE-GGA, Alexandria). Values from VASP.

Values from the calculation:
magnetic moment = 0.00 μB/cell
DOS(E_F) = 2.58 states/eV/cell

Geometry as Quantum ESPRESSO input:
```
&SYSTEM
  ibrav = 0, nat = 4, ntyp = 3
/
ATOMIC_SPECIES
Ru 101.07 Ru.upf
Nd 144.24 Nd.upf
Se 78.96 Se.upf
ATOMIC_POSITIONS crystal
Ru 0.000 0.000 0.000
Nd 0.743 0.743 0.772
Nd 0.257 0.257 0.228
Se 0.500 0.500 0.500
CELL_PARAMETERS angstrom
4.119 0.000 0.000
2.060 3.567 0.000
2.060 1.189 7.235
```

Quick one: least stable of them? ii

i:
# NdSm3Ru

A geometry-optimized NdSm3Ru structure (PBE-GGA, Alexandria). Values from VASP.

Values from the calculation:
magnetic moment = 0.00 μB/cell
DOS(E_F) = 9.67 states/eV/cell

Geometry as Quantum ESPRESSO input:
```
&SYSTEM
  ibrav = 0, nat = 10, ntyp = 3
/
ATOMIC_SPECIES
Sm 150.36 Sm.upf
Nd 144.24 Nd.upf
Ru 101.07 Ru.upf
ATOMIC_POSITIONS crystal
Sm 0.704 0.449 0.153
Sm 0.155 0.949 0.704
Sm 0.845 0.051 0.296
Sm 0.296 0.551 0.847
Sm 0.245 0.451 0.296
Sm 0.755 0.549 0.704
Nd 0.292 0.948 0.240
Nd 0.708 0.052 0.760
Ru 0.631 0.749 0.380
Ru 0.369 0.251 0.620
CELL_PARAMETERS angstrom
6.879 -0.141 -2.828
-3.462 6.149 -2.353
0.138 0.107 7.416
```

ii:
# NdSm3Ru

A geometry-optimized NdSm3Ru structure (PBE-GGA, Alexandria). Values from VASP.

Values from the calculation:
magnetic moment = 1.21 μB/cell
DOS(E_F) = 8.05 states/eV/cell

Geometry as Quantum ESPRESSO input:
```
&SYSTEM
  ibrav = 0, nat = 5, ntyp = 3
/
ATOMIC_SPECIES
Ru 101.07 Ru.upf
Sm 150.36 Sm.upf
Nd 144.24 Nd.upf
ATOMIC_POSITIONS crystal
Ru 0.000 0.000 0.000
Sm 0.000 0.500 0.000
Sm 0.000 0.000 0.500
Sm 0.500 0.000 0.000
Nd 0.500 0.500 0.500
CELL_PARAMETERS angstrom
5.498 0.000 0.000
0.000 5.498 0.000
0.000 0.000 5.498
```

Quick one: least stable of them? ii